#A
# ReB2Sb2 | the Alexandria database | PBE-GGA | optimized geometry
data_ReB2Sb2
_chemical_formula_sum 'Re2 B4 Sb4'
_space_group_name_H-M_alt 'P 4/m b m'
_space_group_IT_number 127
_space_group_name_Hall '-P 4 2ab'
_cell_length_a 7.001
_cell_length_b 7.001
_cell_length_c 3.316
_cell_angle_alpha 90.00
_cell_angle_beta 90.00
_cell_angle_gamma 90.00
loop_
_atom_site_label
_atom_site_type_symbol
_atom_site_fract_x
_atom_site_fract_y
_atom_site_fract_z
Re1 Re 0.000 0.000 0.000
B1 B 0.184 0.316 0.500
Sb1 Sb 0.145 0.645 0.000
# volume	16.25	Å³/atom

#B
# ReB2Sb2 | the Alexandria database | PBE-GGA | optimized geometry
data_ReB2Sb2
_chemical_formula_sum 'Re2 B4 Sb4'
_space_group_name_H-M_alt 'I 4/m m m'
_space_group_IT_number 139
_space_group_name_Hall '-I 4 2'
_cell_length_a 3.096
_cell_length_b 3.096
_cell_length_c 16.205
_cell_angle_alpha 90.00
_cell_angle_beta 90.00
_cell_angle_gamma 90.00
loop_
_atom_site_label
_atom_site_type_symbol
_atom_site_fract_x
_atom_site_fract_y
_atom_site_fract_z
Re1 Re 0.000 0.000 0.000
B1 B 0.000 0.500 0.250
Sb1 Sb 0.000 0.000 0.391
# volume	15.54	Å³/atom

Stability summary: most stable #B, least stable #A.

#A
# ReBSe3 | the Alexandria database | PBE-GGA | optimized geometry
data_ReBSe3
_chemical_formula_sum 'Re1 B1 Se3'
_space_group_name_H-M_alt 'P m -3 m'
_space_group_IT_number 221
_space_group_name_Hall '-P 4 2 3'
_cell_length_a 4.313
_cell_length_b 4.313
_cell_length_c 4.313
_cell_angle_alpha 90.00
_cell_angle_beta 90.00
_cell_angle_gamma 90.00
loop_
_atom_site_label
_atom_site_type_symbol
_atom_site_fract_x
_atom_site_fract_y
_atom_site_fract_z
Re1 Re 0.000 0.000 0.000
B1 B 0.500 0.500 0.500
Se1 Se 0.000 0.500 0.500
# volume	16.04	Å³/atom

#B
# ReBSe3 | the Alexandria database | PBE-GGA | optimized geometry
data_ReBSe3
_chemical_formula_sum 'Re1 B1 Se3'
_space_group_name_H-M_alt 'P m -3 m'
_space_group_IT_number 221
_space_group_name_Hall '-P 4 2 3'
_cell_length_a 4.894
_cell_length_b 4.894
_cell_length_c 4.894
_cell_angle_alpha 90.00
_cell_angle_beta 90.00
_cell_angle_gamma 90.00
loop_
_atom_site_label
_atom_site_type_symbol
_atom_site_fract_x
_atom_site_fract_y
_atom_site_fract_z
Re1 Re 0.000 0.000 0.000
B1 B 0.500 0.500 0.500
Se1 Se 0.000 0.000 0.500
# volume	23.44	Å³/atom

Stability summary: most stable #A, least stable #B.

#A
# ReB3Se | the Alexandria database | PBE-GGA | optimized geometry
data_ReB3Se
_chemical_formula_sum 'Re1 B3 Se1'
_space_group_name_H-M_alt 'P m -3 m'
_space_group_IT_number 221
_space_group_name_Hall '-P 4 2 3'
_cell_length_a 3.969
_cell_length_b 3.969
_cell_length_c 3.969
_cell_angle_alpha 90.00
_cell_angle_beta 90.00
_cell_angle_gamma 90.00
loop_
_atom_site_label
_atom_site_type_symbol
_atom_site_fract_x
_atom_site_fract_y
_atom_site_fract_z
Re1 Re 0.000 0.000 0.000
B1 B 0.000 0.500 0.500
Se1 Se 0.500 0.500 0.500
# volume	12.50	Å³/atom

#B
# ReB3Se | the Alexandria database | PBE-GGA | optimized geometry
data_ReB3Se
_chemical_formula_sum 'Re1 B3 Se1'
_space_group_name_H-M_alt 'P m -3 m'
_space_group_IT_number 221
_space_group_name_Hall '-P 4 2 3'
_cell_length_a 4.202
_cell_length_b 4.202
_cell_length_c 4.202
_cell_angle_alpha 90.00
_cell_angle_beta 90.00
_cell_angle_gamma 90.00
loop_
_atom_site_label
_atom_site_type_symbol
_atom_site_fract_x
_atom_site_fract_y
_atom_site_fract_z
Re1 Re 0.000 0.000 0.000
B1 B 0.000 0.000 0.500
Se1 Se 0.500 0.500 0.500
# volume	14.84	Å³/atom

Stability summary: most stable #B, least stable #A.

#A
# ReSi3B | the Alexandria database | PBE-GGA | optimized geometry
data_ReSi3B
_chemical_formula_sum 'Re1 Si3 B1'
_space_group_name_H-M_alt 'P m -3 m'
_space_group_IT_number 221
_space_group_name_Hall '-P 4 2 3'
_cell_length_a 4.671
_cell_length_b 4.671
_cell_length_c 4.671
_cell_angle_alpha 90.00
_cell_angle_beta 90.00
_cell_angle_gamma 90.00
loop_
_atom_site_label
_atom_site_type_symbol
_atom_site_fract_x
_atom_site_fract_y
_atom_site_fract_z
Re1 Re 0.000 0.000 0.000
Si1 Si 0.000 0.000 0.500
B1 B 0.500 0.500 0.500
# volume	20.39	Å³/atom

#B
# ReSi3B | the Alexandria database | PBE-GGA | optimized geometry
data_ReSi3B
_chemical_formula_sum 'Re1 Si3 B1'
_space_group_name_H-M_alt 'P m -3 m'
_space_group_IT_number 221
_space_group_name_Hall '-P 4 2 3'
_cell_length_a 4.029
_cell_length_b 4.029
_cell_length_c 4.029
_cell_angle_alpha 90.00
_cell_angle_beta 90.00
_cell_angle_gamma 90.00
loop_
_atom_site_label
_atom_site_type_symbol
_atom_site_fract_x
_atom_site_fract_y
_atom_site_fract_z
Re1 Re 0.000 0.000 0.000
Si1 Si 0.000 0.500 0.500
B1 B 0.500 0.500 0.500
# volume	13.08	Å³/atom

Stability summary: most stable #B, least stable #A.

#A
# Re2SiB | the Alexandria database | PBE-GGA | optimized geometry
data_Re2SiB
_chemical_formula_sum 'Re8 Si4 B4'
_space_group_name_H-M_alt 'F m -3 m'
_space_group_IT_number 225
_space_group_name_Hall '-F 4 2 3'
_cell_length_a 5.782
_cell_length_b 5.782
_cell_length_c 5.782
_cell_angle_alpha 90.00
_cell_angle_beta 90.00
_cell_angle_gamma 90.00
loop_
_atom_site_label
_atom_site_type_symbol
_atom_site_fract_x
_atom_site_fract_y
_atom_site_fract_z
Re1 Re 0.250 0.250 0.250
Si1 Si 0.000 0.000 0.000
B1 B 0.000 0.000 0.500
# volume	12.08	Å³/atom

#B
# Re2SiB | the Alexandria database | PBE-GGA | optimized geometry
data_Re2SiB
_chemical_formula_sum 'Re8 Si4 B4'
_space_group_name_H-M_alt 'I -4 2 d'
_space_group_IT_number 122
_space_group_name_Hall 'I -4 2bw'
_cell_length_a 3.871
_cell_length_b 3.871
_cell_length_c 15.722
_cell_angle_alpha 90.00
_cell_angle_beta 90.00
_cell_angle_gamma 90.00
loop_
_atom_site_label
_atom_site_type_symbol
_atom_site_fract_x
_atom_site_fract_y
_atom_site_fract_z
Re1 Re 0.186 0.250 0.125
Si1 Si 0.000 0.000 0.500
B1 B 0.000 0.000 0.000
# volume	14.73	Å³/atom

Stability summary: most stable #A, least stable #B.

#A
# Re2SnB | the Alexandria database | PBE-GGA | optimized geometry
data_Re2SnB
_chemical_formula_sum 'Re8 Sn4 B4'
_space_group_name_H-M_alt 'I -4 2 d'
_space_group_IT_number 122
_space_group_name_Hall 'I -4 2bw'
_cell_length_a 4.117
_cell_length_b 4.117
_cell_length_c 16.421
_cell_angle_alpha 90.00
_cell_angle_beta 90.00
_cell_angle_gamma 90.00
loop_
_atom_site_label
_atom_site_type_symbol
_atom_site_fract_x
_atom_site_fract_y
_atom_site_fract_z
Re1 Re 0.151 0.250 0.125
Sn1 Sn 0.000 0.000 0.500
B1 B 0.000 0.000 0.000
# volume	17.39	Å³/atom

#B
# Re2SnB | the Alexandria database | PBE-GGA | optimized geometry
data_Re2SnB
_chemical_formula_sum 'Re8 Sn4 B4'
_space_group_name_H-M_alt 'F m -3 m'
_space_group_IT_number 225
_space_group_name_Hall '-F 4 2 3'
_cell_length_a 6.136
_cell_length_b 6.136
_cell_length_c 6.136
_cell_angle_alpha 90.00
_cell_angle_beta 90.00
_cell_angle_gamma 90.00
loop_
_atom_site_label
_atom_site_type_symbol
_atom_site_fract_x
_atom_site_fract_y
_atom_site_fract_z
Re1 Re 0.250 0.250 0.250
Sn1 Sn 0.000 0.000 0.000
B1 B 0.000 0.000 0.500
# volume	14.44	Å³/atom

Stability summary: most stable #A, least stable #B.

#A
# Re3SnB | the Alexandria database | PBE-GGA | optimized geometry
data_Re3SnB
_chemical_formula_sum 'Re3 Sn1 B1'
_space_group_name_H-M_alt 'P m -3 m'
_space_group_IT_number 221
_space_group_name_Hall '-P 4 2 3'
_cell_length_a 4.889
_cell_length_b 4.889
_cell_length_c 4.889
_cell_angle_alpha 90.00
_cell_angle_beta 90.00
_cell_angle_gamma 90.00
loop_
_atom_site_label
_atom_site_type_symbol
_atom_site_fract_x
_atom_site_fract_y
_atom_site_fract_z
Re1 Re 0.000 0.000 0.500
Sn1 Sn 0.000 0.000 0.000
B1 B 0.500 0.500 0.500
# volume	23.38	Å³/atom

#B
# Re3SnB | the Alexandria database | PBE-GGA | optimized geometry
data_Re3SnB
_chemical_formula_sum 'Re3 Sn1 B1'
_space_group_name_H-M_alt 'P m -3 m'
_space_group_IT_number 221
_space_group_name_Hall '-P 4 2 3'
_cell_length_a 4.202
_cell_length_b 4.202
_cell_length_c 4.202
_cell_angle_alpha 90.00
_cell_angle_beta 90.00
_cell_angle_gamma 90.00
loop_
_atom_site_label
_atom_site_type_symbol
_atom_site_fract_x
_atom_site_fract_y
_atom_site_fract_z
Re1 Re 0.000 0.000 0.500
Sn1 Sn 0.500 0.500 0.500
B1 B 0.000 0.000 0.000
# volume	14.83	Å³/atom

Stability summary: most stable #B, least stable #A.

#A
# SrReB3 | the Alexandria database | PBE-GGA | optimized geometry
data_SrReB3
_chemical_formula_sum 'Sr1 Re1 B3'
_space_group_name_H-M_alt 'P m -3 m'
_space_group_IT_number 221
_space_group_name_Hall '-P 4 2 3'
_cell_length_a 4.241
_cell_length_b 4.241
_cell_length_c 4.241
_cell_angle_alpha 90.00
_cell_angle_beta 90.00
_cell_angle_gamma 90.00
loop_
_atom_site_label
_atom_site_type_symbol
_atom_site_fract_x
_atom_site_fract_y
_atom_site_fract_z
Sr1 Sr 0.000 0.000 0.000
Re1 Re 0.500 0.500 0.500
B1 B 0.000 0.000 0.500
# volume	15.25	Å³/atom

#B
# SrReB3 | the Alexandria database | PBE-GGA | optimized geometry
data_SrReB3
_chemical_formula_sum 'Sr1 Re1 B3'
_space_group_name_H-M_alt 'P m -3 m'
_space_group_IT_number 221
_space_group_name_Hall '-P 4 2 3'
_cell_length_a 4.229
_cell_length_b 4.229
_cell_length_c 4.229
_cell_angle_alpha 90.00
_cell_angle_beta 90.00
_cell_angle_gamma 90.00
loop_
_atom_site_label
_atom_site_type_symbol
_atom_site_fract_x
_atom_site_fract_y
_atom_site_fract_z
Sr1 Sr 0.000 0.000 0.000
Re1 Re 0.500 0.500 0.500
B1 B 0.000 0.500 0.500
# volume	15.13	Å³/atom

Stability summary: most stable #B, least stable #A.

#A
# SrRe3B | the Alexandria database | PBE-GGA | optimized geometry
data_SrRe3B
_chemical_formula_sum 'Sr1 Re3 B1'
_space_group_name_H-M_alt 'P m -3 m'
_space_group_IT_number 221
_space_group_name_Hall '-P 4 2 3'
_cell_length_a 4.340
_cell_length_b 4.340
_cell_length_c 4.340
_cell_angle_alpha 90.00
_cell_angle_beta 90.00
_cell_angle_gamma 90.00
loop_
_atom_site_label
_atom_site_type_symbol
_atom_site_fract_x
_atom_site_fract_y
_atom_site_fract_z
Sr1 Sr 0.000 0.000 0.000
Re1 Re 0.000 0.500 0.500
B1 B 0.500 0.500 0.500
# volume	16.35	Å³/atom

#B
# SrRe3B | the Alexandria database | PBE-GGA | optimized geometry
data_SrRe3B
_chemical_formula_sum 'Sr1 Re3 B1'
_space_group_name_H-M_alt 'P m -3 m'
_space_group_IT_number 221
_space_group_name_Hall '-P 4 2 3'
_cell_length_a 4.837
_cell_length_b 4.837
_cell_length_c 4.837
_cell_angle_alpha 90.00
_cell_angle_beta 90.00
_cell_angle_gamma 90.00
loop_
_atom_site_label
_atom_site_type_symbol
_atom_site_fract_x
_atom_site_fract_y
_atom_site_fract_z
Sr1 Sr 0.000 0.000 0.000
Re1 Re 0.000 0.000 0.500
B1 B 0.500 0.500 0.500
# volume	22.64	Å³/atom

Stability summary: most stable #A, least stable #B.

#A
# TaReB | the Alexandria database | PBE-GGA | optimized geometry
data_TaReB
_chemical_formula_sum 'Ta2 Re2 B2'
_space_group_name_H-M_alt 'P m c 21'
_space_group_IT_number 26
_cell_length_a 3.033
_cell_length_b 4.658
_cell_length_c 5.669
_cell_angle_alpha 90.00
_cell_angle_beta 90.00
_cell_angle_gamma 90.00
loop_
_space_group_symop_operation_xyz
'x,y,z'
'-x,-y,z+1/2'
'-x,y,z'
'x,-y,z+1/2'
loop_
_atom_site_label
_atom_site_type_symbol
_atom_site_fract_x
_atom_site_fract_y
_atom_site_fract_z
Ta1 Ta 0.000 0.107 0.000
Re1 Re 0.500 0.394 0.352
B1 B 0.000 0.364 0.643
# volume	13.35	Å³/atom

#B
# TaReB | the Alexandria database | PBE-GGA | optimized geometry
data_TaReB
_chemical_formula_sum 'Ta4 Re4 B4'
_space_group_name_H-M_alt 'C m c m'
_space_group_IT_number 63
_space_group_name_Hall '-C 2c 2'
_cell_length_a 3.246
_cell_length_b 14.800
_cell_length_c 3.152
_cell_angle_alpha 90.00
_cell_angle_beta 90.00
_cell_angle_gamma 90.00
loop_
_atom_site_label
_atom_site_type_symbol
_atom_site_fract_x
_atom_site_fract_y
_atom_site_fract_z
Ta1 Ta 0.000 0.086 0.250
Re1 Re 0.000 0.301 0.250
B1 B 0.000 0.465 0.250
# volume	12.62	Å³/atom

#C
# TaReB | the Alexandria database | PBE-GGA | optimized geometry
data_TaReB
_chemical_formula_sum 'Ta6 Re6 B6'
_space_group_name_H-M_alt 'P m m a'
_space_group_IT_number 51
_cell_length_a 11.118
_cell_length_b 3.167
_cell_length_c 6.489
_cell_angle_alpha 90.00
_cell_angle_beta 90.00
_cell_angle_gamma 90.00
loop_
_space_group_symop_operation_xyz
'x,y,z'
'-x,-y,-z'
'-x+1/2,-y,z'
'x+1/2,y,-z'
'x+1/2,-y,-z'
'-x+1/2,y,z'
'-x,y,-z'
'x,-y,z'
loop_
_atom_site_label
_atom_site_type_symbol
_atom_site_fract_x
_atom_site_fract_y
_atom_site_fract_z
Ta1 Ta 0.045 0.000 0.222
Ta2 Ta 0.250 0.000 0.850
Re1 Re 0.121 0.500 0.573
Re2 Re 0.250 0.500 0.195
B1 B 0.089 0.500 0.943
B2 B 0.250 0.000 0.450
# volume	12.69	Å³/atom

Stability summary: most stable #C, least stable #A.

#A
# TaReB2 | the Alexandria database | PBE-GGA | optimized geometry
data_TaReB2
_chemical_formula_sum 'Ta4 Re4 B8'
_space_group_name_H-M_alt 'F m -3 m'
_space_group_IT_number 225
_space_group_name_Hall '-F 4 2 3'
_cell_length_a 5.625
_cell_length_b 5.625
_cell_length_c 5.625
_cell_angle_alpha 90.00
_cell_angle_beta 90.00
_cell_angle_gamma 90.00
loop_
_atom_site_label
_atom_site_type_symbol
_atom_site_fract_x
_atom_site_fract_y
_atom_site_fract_z
Ta1 Ta 0.000 0.000 0.000
Re1 Re 0.000 0.000 0.500
B1 B 0.250 0.250 0.250
# volume	11.12	Å³/atom

#B
# TaReB2 | the Alexandria database | PBE-GGA | optimized geometry
data_TaReB2
_chemical_formula_sum 'Ta4 Re4 B8'
_space_group_name_H-M_alt 'I -4 2 d'
_space_group_IT_number 122
_space_group_name_Hall 'I -4 2bw'
_cell_length_a 4.807
_cell_length_b 4.807
_cell_length_c 10.071
_cell_angle_alpha 90.00
_cell_angle_beta 90.00
_cell_angle_gamma 90.00
loop_
_atom_site_label
_atom_site_type_symbol
_atom_site_fract_x
_atom_site_fract_y
_atom_site_fract_z
Ta1 Ta 0.000 0.000 0.000
Re1 Re 0.000 0.000 0.500
B1 B 0.220 0.250 0.625
# volume	14.54	Å³/atom

#C
# TaReB2 | the Alexandria database | PBE-GGA | optimized geometry
data_TaReB2
_chemical_formula_sum 'Ta3 Re3 B6'
_space_group_name_H-M_alt 'R -3 m'
_space_group_IT_number 166
_space_group_name_Hall '-R 3 2"'
_cell_length_a 3.1903
_cell_length_b 3.1903
_cell_length_c 15.5712
_cell_angle_alpha 90.00
_cell_angle_beta 90.00
_cell_angle_gamma 120.00
loop_
_atom_site_label
_atom_site_type_symbol
_atom_site_fract_x
_atom_site_fract_y
_atom_site_fract_z
Ta1 Ta 0.0000 0.0000 0.0000
Re1 Re 0.0000 0.0000 0.5000
B1 B 0.0000 0.0000 0.2461
# volume	11.44	Å³/atom

Stability summary: most stable #C, least stable #B.

#A
# TbReB4 | the Alexandria database | PBE-GGA | optimized geometry
data_TbReB4
_chemical_formula_sum 'Tb4 Re4 B16'
_space_group_name_H-M_alt 'P b a m'
_space_group_IT_number 55
_cell_length_a 5.989
_cell_length_b 11.589
_cell_length_c 3.627
_cell_angle_alpha 90.00
_cell_angle_beta 90.00
_cell_angle_gamma 90.00
loop_
_space_group_symop_operation_xyz
'x,y,z'
'-x,-y,-z'
'-x,-y,z'
'x,y,-z'
'x+1/2,-y+1/2,-z'
'-x+1/2,y+1/2,z'
'-x+1/2,y+1/2,-z'
'x+1/2,-y+1/2,z'
loop_
_atom_site_label
_atom_site_type_symbol
_atom_site_fract_x
_atom_site_fract_y
_atom_site_fract_z
Tb1 Tb 0.126 0.150 0.000
Re1 Re 0.132 0.413 0.000
B1 B 0.023 0.692 0.500
B2 B 0.113 0.547 0.500
B3 B 0.137 0.968 0.500
B4 B 0.214 0.815 0.500
# volume	10.49	Å³/atom

#B
# TbReB4 | the Alexandria database | PBE-GGA | optimized geometry
data_TbReB4
_chemical_formula_sum 'Tb2 Re2 B8'
_space_group_name_H-M_alt 'I m m m'
_space_group_IT_number 71
_space_group_name_Hall '-I 2 2'
_cell_length_a 3.159
_cell_length_b 5.391
_cell_length_c 7.129
_cell_angle_alpha 90.00
_cell_angle_beta 90.00
_cell_angle_gamma 90.00
loop_
_atom_site_label
_atom_site_type_symbol
_atom_site_fract_x
_atom_site_fract_y
_atom_site_fract_z
Tb1 Tb 0.000 0.000 0.000
Re1 Re 0.000 0.000 0.500
B1 B 0.000 0.337 0.249
# volume	10.12	Å³/atom

Stability summary: most stable #A, least stable #B.